# 1
VASP calculation (GGA-PBE) on an optimized crystal structure of Al2HgBr.

Lattice parameters (Å, degrees): 3.3086 3.3086 10.1613 90.00 90.00 116.97
With the nearest neighbours (Å) after each atom.
Fractional positions:
Al (0.0000, 0.0000, 0.0000)  2 Br 2.56, 2 Al 2.75
Al (0.5000, 0.5000, 0.2107)  2 Al 2.75, 2 Hg 2.95
Hg (0.0000, 0.0000, 0.4457)  2 Al 2.95
Br (0.5000, 0.5000, 0.8141)  2 Al 2.56

Properties
**Crystal system**: orthorhombic
**Polymorph energy (0 for the lowest one)**: 5.05 kJ/mol of atoms
**Calculated volume**: 24.78 A^3/atom
**E_form (uncorrected)**: 0.18 eV/f.u.
**Space-group type**: Cmm2
**Uncorrected energy**: -9.3 eV/cell

---

# 2
VASP calculation (GGA-PBE) on an optimized crystal structure of Pr4NdP5.

Lattice parameters (Å, degrees): 11.1026 11.1026 11.1026 158.19 149.02 38.21
With the nearest neighbours (Å) after each atom.
Fractional positions:
Pr (0.0998, 0.0998, 0.0000)  6 P 2.97
Pr (0.3003, 0.3003, 0.0000)  6 P 2.97-2.98
Pr (0.6997, 0.6997, 0.0000)  6 P 2.97-2.98
Pr (0.9002, 0.9002, 0.0000)  6 P 2.97
Nd (0.5000, 0.5000, 0.0000)  6 P 2.96-2.97
P (0.0000, 0.5000, 0.5000)  2 Nd 2.97, 4 Pr 2.97
P (0.2000, 0.7000, 0.5000)  6 Pr 2.97
P (0.4008, 0.9008, 0.5000)  2 Nd 2.96, 4 Pr 2.97-2.98
P (0.5992, 0.0992, 0.5000)  2 Nd 2.96, 4 Pr 2.97-2.98
P (0.8000, 0.3000, 0.5000)  6 Pr 2.97

Properties
**Crystal system**: orthorhombic
**Calculated volume**: 26.14 A^3/atom
**E_form**: -1.521 eV per atom
**Space-group type**: Immm
**Uncorrected energy**: -66.1 eV/cell

---

# 3
VASP calculation (GGA-PBE) on an optimized crystal structure of BaTaSbTe2.

Lattice parameters (Å, degrees): 5.3265 5.3265 6.5305 90.00 90.00 90.00
With the nearest neighbours (Å) after each atom.
Fractional positions:
Ba (0.0000, 0.0000, 0.0000)  2 Ta 3.27
Ta (0.0000, 0.0000, 0.5000)  4 Te 2.66
Sb (0.5000, 0.5000, 0.0000)  4 Ba 3.77, 8 Te 4.21
Te (0.0000, 0.5000, 0.5000)  2 Ta 2.66
Te (0.5000, 0.0000, 0.5000)  2 Ta 2.66

Properties
**Crystal system**: tetragonal
**Polymorph energy (0 for the lowest one)**: 67.27 kJ/mol of atoms
**Calculated volume**: 37.06 A^3/atom
**E_form (uncorrected)**: 1.18 eV/f.u.
**Space-group type**: P4/mmm
**Uncorrected energy**: -23.0 eV/cell

---

# 4
VASP calculation (GGA-PBE) on an optimized crystal structure of LaNbNi2.

Lattice parameters (Å, degrees): 5.8949 5.8949 5.8949 104.18 104.18 120.67
With the nearest neighbours (Å) after each atom.
Fractional positions:
La (0.0000, 0.0000, 0.0000)  4 Ni 2.86, 2 Nb 2.92
La (0.7500, 0.2500, 0.5000)  4 Ni 2.86, 2 Nb 2.92
Nb (0.2500, 0.7500, 0.5000)  4 Ni 2.48
Nb (0.5000, 0.5000, 0.0000)  4 Ni 2.48
Ni (0.1632, 0.6250, 0.0382)  2 Nb 2.48
Ni (0.3750, 0.4132, 0.5382)  2 Nb 2.48
Ni (0.5868, 0.1250, 0.9618)  2 Nb 2.48
Ni (0.8750, 0.8368, 0.4618)  2 Nb 2.48

Properties
**Crystal system**: tetragonal
**Polymorph energy (0 for the lowest one)**: 38.99 kJ/mol of atoms
**Calculated volume**: 19.14 A^3/atom
**E_form**: 0.279 eV per atom
**Space-group type**: I-42d
**Uncorrected energy**: -50.9 eV/cell